Record 1
PuU2Tc: optimized geometry, GGA-PBE.

Computed properties:
The value obtained for the total moment is 0.169 μB/atom. The value obtained for the formation energy from the elements is 0.1202 eV/atom. As for the density of states at the Fermi level: 38.187 states/eV per cell.

```
data_PuU2Tc
_chemical_formula_sum 'Pu4 U8 Tc4'
_space_group_name_H-M_alt 'F m -3 m'
_space_group_IT_number 225
_space_group_name_Hall '-F 4 2 3'
_cell_length_a 6.626
_cell_length_b 6.626
_cell_length_c 6.626
_cell_angle_alpha 90.00
_cell_angle_beta 90.00
_cell_angle_gamma 90.00
loop_
_atom_site_label
_atom_site_fract_x
_atom_site_fract_y
_atom_site_fract_z
Pu1 0.000 0.000 0.000
U1 0.250 0.250 0.250
Tc1 0.000 0.000 0.500
```

=====

Record 2
Pu2UTc: optimized geometry, GGA-PBE.

Computed properties:
The value obtained for the total moment is 2.391 μB/atom. The value obtained for the formation energy from the elements is 0.1757 eV/atom. As for the density of states at the Fermi level: 39.697 states/eV per cell.

```
data_Pu2UTc
_chemical_formula_sum 'Pu8 U4 Tc4'
_space_group_name_H-M_alt 'C m c m'
_space_group_IT_number 63
_space_group_name_Hall '-C 2c 2'
_cell_length_a 3.136
_cell_length_b 11.999
_cell_length_c 8.330
_cell_angle_alpha 90.00
_cell_angle_beta 90.00
_cell_angle_gamma 90.00
loop_
_atom_site_label
_atom_site_fract_x
_atom_site_fract_y
_atom_site_fract_z
Pu1 0.000 0.117 0.034
U1 0.000 0.240 0.750
Tc1 0.000 0.468 0.250
```

=====

Record 3
Pu2U5Tc5: optimized geometry, GGA-PBE.

Computed properties:
The value obtained for the total moment is 0.803 μB/atom. The value obtained for the formation energy from the elements is -0.0885 eV/atom. As for the density of states at the Fermi level: 21.540 states/eV per cell.

```
data_Pu2U5Tc5
_chemical_formula_sum 'Pu2 U5 Tc5'
_space_group_name_H-M_alt 'P -1'
_space_group_IT_number 2
_cell_length_a 4.525
_cell_length_b 5.468
_cell_length_c 9.999
_cell_angle_alpha 91.82
_cell_angle_beta 103.08
_cell_angle_gamma 114.39
loop_
_space_group_symop_operation_xyz
'x,y,z'
'-x,-y,-z'
loop_
_atom_site_label
_atom_site_fract_x
_atom_site_fract_y
_atom_site_fract_z
Pu1 0.173 0.090 0.255
U1 0.199 0.368 0.029
U2 0.481 0.220 0.744
U3 0.500 0.500 0.500
Tc1 0.146 0.785 0.503
Tc2 0.156 0.560 0.753
Tc3 0.500 0.000 0.000
```

=====

Record 4
Pu2U2Tc3: optimized geometry, GGA-PBE.

Computed properties:
The value obtained for the total moment is 1.192 μB/atom. The value obtained for the formation energy from the elements is -0.0478 eV/atom. As for the density of states at the Fermi level: 32.236 states/eV per cell.

```
data_Pu2U2Tc3
_chemical_formula_sum 'Pu6 U6 Tc9'
_space_group_name_H-M_alt 'R -3 m'
_space_group_IT_number 166
_space_group_name_Hall '-R 3 2"'
_cell_length_a 4.5275
_cell_length_b 4.5275
_cell_length_c 21.4487
_cell_angle_alpha 90.00
_cell_angle_beta 90.00
_cell_angle_gamma 120.00
loop_
_atom_site_label
_atom_site_fract_x
_atom_site_fract_y
_atom_site_fract_z
Pu1 0.0000 0.0000 0.0728
U1 0.0000 0.0000 0.2242
Tc1 0.0000 0.0000 0.3634
Tc2 0.0000 0.0000 0.5000
```

=====

Record 5
PuU3Tc3: optimized geometry, GGA-PBE.

Computed properties:
The value obtained for the total moment is 0.000 μB/atom. The value obtained for the formation energy from the elements is -0.0523 eV/atom. As for the density of states at the Fermi level: 24.012 states/eV per cell.

```
data_PuU3Tc3
_chemical_formula_sum 'Pu2 U6 Tc6'
_space_group_name_H-M_alt 'P -1'
_space_group_IT_number 2
_cell_length_a 5.428
_cell_length_b 6.948
_cell_length_c 6.970
_cell_angle_alpha 87.37
_cell_angle_beta 89.21
_cell_angle_gamma 80.44
loop_
_space_group_symop_operation_xyz
'x,y,z'
'-x,-y,-z'
loop_
_atom_site_label
_atom_site_fract_x
_atom_site_fract_y
_atom_site_fract_z
Pu1 0.165 0.371 0.045
U1 0.086 0.140 0.300
U2 0.277 0.072 0.835
U3 0.496 0.439 0.269
Tc1 0.030 0.343 0.635
Tc2 0.288 0.779 0.073
Tc3 0.415 0.809 0.478
```

=====

Record 6
PuU2Tc: optimized geometry, GGA-PBE.

Computed properties:
The value obtained for the total moment is 0.001 μB/atom. The value obtained for the formation energy from the elements is 0.2302 eV/atom. As for the density of states at the Fermi level: 24.717 states/eV per cell.

```
data_PuU2Tc
_chemical_formula_sum 'Pu3 U6 Tc3'
_space_group_name_H-M_alt 'R -3 m'
_space_group_IT_number 166
_space_group_name_Hall '-R 3 2"'
_cell_length_a 3.3260
_cell_length_b 3.3260
_cell_length_c 23.1452
_cell_angle_alpha 90.00
_cell_angle_beta 90.00
_cell_angle_gamma 120.00
loop_
_atom_site_label
_atom_site_fract_x
_atom_site_fract_y
_atom_site_fract_z
Pu1 0.0000 0.0000 0.0000
U1 0.0000 0.0000 0.2581
Tc1 0.0000 0.0000 0.5000
```

=====

Record 7
PuU2Tc: optimized geometry, GGA-PBE.

Computed properties:
The value obtained for the total moment is 0.511 μB/atom. The value obtained for the formation energy from the elements is 0.1073 eV/atom. As for the density of states at the Fermi level: 10.386 states/eV per cell.

```
data_PuU2Tc
_chemical_formula_sum 'Pu1 U2 Tc1'
_space_group_name_H-M_alt 'P 4/m m m'
_space_group_IT_number 123
_space_group_name_Hall '-P 4 2'
_cell_length_a 4.936
_cell_length_b 4.936
_cell_length_c 3.132
_cell_angle_alpha 90.00
_cell_angle_beta 90.00
_cell_angle_gamma 90.00
loop_
_atom_site_label
_atom_site_fract_x
_atom_site_fract_y
_atom_site_fract_z
Pu1 0.000 0.000 0.000
U1 0.000 0.500 0.500
Tc1 0.500 0.500 0.000
```

=====

Record 8
Pu2UTc3: optimized geometry, GGA-PBE.

Computed properties:
The value obtained for the total moment is 1.564 μB/atom. The value obtained for the formation energy from the elements is 0.0656 eV/atom. As for the density of states at the Fermi level: 14.510 states/eV per cell.

```
data_Pu2UTc3
_chemical_formula_sum 'Pu2 U1 Tc3'
_space_group_name_H-M_alt 'P -1'
_space_group_IT_number 2
_cell_length_a 3.024
_cell_length_b 5.313
_cell_length_c 7.691
_cell_angle_alpha 101.29
_cell_angle_beta 94.67
_cell_angle_gamma 104.67
loop_
_space_group_symop_operation_xyz
'x,y,z'
'-x,-y,-z'
loop_
_atom_site_label
_atom_site_fract_x
_atom_site_fract_y
_atom_site_fract_z
Pu1 0.017 0.277 0.162
U1 0.500 0.000 0.500
Tc1 0.397 0.220 0.802
Tc2 0.500 0.500 0.500
```

=====

Record 9
Pu2U3Tc2: optimized geometry, GGA-PBE.

Computed properties:
The value obtained for the total moment is 0.125 μB/atom. The value obtained for the formation energy from the elements is 0.0580 eV/atom. As for the density of states at the Fermi level: 14.928 states/eV per cell.

```
data_Pu2U3Tc2
_chemical_formula_sum 'Pu2 U3 Tc2'
_space_group_name_H-M_alt 'P -1'
_space_group_IT_number 2
_cell_length_a 4.924
_cell_length_b 5.394
_cell_length_c 5.525
_cell_angle_alpha 97.89
_cell_angle_beta 96.73
_cell_angle_gamma 113.65
loop_
_space_group_symop_operation_xyz
'x,y,z'
'-x,-y,-z'
loop_
_atom_site_label
_atom_site_fract_x
_atom_site_fract_y
_atom_site_fract_z
Pu1 0.077 0.213 0.438
U1 0.000 0.000 0.000
U2 0.318 0.652 0.783
Tc1 0.406 0.768 0.248
```

=====

Record 10
PuUZnTc: optimized geometry, GGA-PBE.

Computed properties:
The value obtained for the total moment is 1.334 μB/atom. The value obtained for the formation energy from the elements is -0.0404 eV/atom. As for the density of states at the Fermi level: 24.704 states/eV per cell.

```
data_PuUZnTc
_chemical_formula_sum 'Pu4 U4 Zn4 Tc4'
_space_group_name_H-M_alt 'F -4 3 m'
_space_group_IT_number 216
_space_group_name_Hall 'F -4 2 3'
_cell_length_a 6.598
_cell_length_b 6.598
_cell_length_c 6.598
_cell_angle_alpha 90.00
_cell_angle_beta 90.00
_cell_angle_gamma 90.00
loop_
_atom_site_label
_atom_site_fract_x
_atom_site_fract_y
_atom_site_fract_z
Pu1 0.000 0.000 0.000
U1 0.250 0.250 0.250
Zn1 0.250 0.250 0.750
Tc1 0.000 0.000 0.500
```

=====

Record 11
PuVTc: optimized geometry, GGA-PBE.

Computed properties:
The value obtained for the total moment is 1.104 μB/atom. The value obtained for the formation energy from the elements is 0.2525 eV/atom. As for the density of states at the Fermi level: 24.295 states/eV per cell.

```
data_PuVTc
_chemical_formula_sum 'Pu4 V4 Tc4'
_space_group_name_H-M_alt 'A m m 2'
_space_group_IT_number 38
_cell_length_a 5.483
_cell_length_b 4.374
_cell_length_c 8.318
_cell_angle_alpha 90.00
_cell_angle_beta 90.00
_cell_angle_gamma 90.00
loop_
_space_group_symop_operation_xyz
'x,y,z'
'-x,-y,z'
'-x,y,z'
'x,-y,z'
'x,y+1/2,z+1/2'
'-x,-y+1/2,z+1/2'
'-x,y+1/2,z+1/2'
'x,-y+1/2,z+1/2'
loop_
_atom_site_label
_atom_site_fract_x
_atom_site_fract_y
_atom_site_fract_z
Pu1 0.000 0.000 0.000
Pu2 0.500 0.000 0.059
V1 0.000 0.000 0.652
V2 0.500 0.000 0.774
Tc1 0.244 0.000 0.349
```

=====

Record 12
PuVTc: optimized geometry, GGA-PBE.

Computed properties:
The value obtained for the total moment is 1.402 μB/atom. The value obtained for the formation energy from the elements is 0.1234 eV/atom. As for the density of states at the Fermi level: 4.836 states/eV per cell.

```
data_PuVTc
_chemical_formula_sum 'Pu1 V1 Tc1'
_space_group_name_H-M_alt 'P 3 m 1'
_space_group_IT_number 156
_cell_length_a 4.4371
_cell_length_b 4.4371
_cell_length_c 2.8648
_cell_angle_alpha 90.00
_cell_angle_beta 90.00
_cell_angle_gamma 120.00
loop_
_space_group_symop_operation_xyz
'x,y,z'
'-y,x-y,z'
'-x+y,-x,z'
'-y,-x,z'
'-x+y,y,z'
'x,x-y,z'
loop_
_atom_site_label
_atom_site_fract_x
_atom_site_fract_y
_atom_site_fract_z
Pu1 0.0000 0.0000 0.0000
V1 0.3333 0.6667 0.7179
Tc1 0.6667 0.3333 0.3030
```

=====

What did the second record say?
Pu2UTc: optimized geometry, GGA-PBE.

Computed properties:
The value obtained for the total moment is 2.391 μB/atom. The value obtained for the formation energy from the elements is 0.1757 eV/atom. As for the density of states at the Fermi level: 39.697 states/eV per cell.

```
data_Pu2UTc
_chemical_formula_sum 'Pu8 U4 Tc4'
_space_group_name_H-M_alt 'C m c m'
_space_group_IT_number 63
_space_group_name_Hall '-C 2c 2'
_cell_length_a 3.136
_cell_length_b 11.999
_cell_length_c 8.330
_cell_angle_alpha 90.00
_cell_angle_beta 90.00
_cell_angle_gamma 90.00
loop_
_atom_site_label
_atom_site_fract_x
_atom_site_fract_y
_atom_site_fract_z
Pu1 0.000 0.117 0.034
U1 0.000 0.240 0.750
Tc1 0.000 0.468 0.250
```